Record 1
DFT (PBE-GGA) results for a relaxed structure of SmHoTh2.

```
SmHoTh2
1.0
3.572 0.000 0.000
1.786 3.094 0.000
1.786 1.031 11.674
Ho Th Sm
1 2 1
Cartesian
5.358 3.094 11.622
1.786 1.031 2.883
1.786 1.031 8.783
3.572 2.062 5.897
```

Computed properties:
Size of the total moment, μB/f.u.: 0.00
Energy of formation from the pure elements, eV per atom: 0.0452
N(E_F), states/eV per cell: 5.9
E above lowest polymorph, eV per atom: 0.015

Record 2
DFT (PBE-GGA) results for a relaxed structure of CaTcBi2O6.

```
CaTcBi2O6
1.0
5.614 0.000 -0.008
0.000 6.135 0.000
0.039 0.000 8.219
Bi Tc O Ca
4 2 12 2
Cartesian
5.581 0.320 5.972
0.071 5.815 2.239
2.897 3.387 6.344
2.755 2.748 1.867
2.826 0.000 4.106
0.000 3.067 0.000
2.139 5.722 5.991
4.926 3.481 1.877
0.726 2.654 6.334
1.780 4.060 0.247
1.046 0.993 3.858
4.606 5.142 4.353
4.654 4.727 7.516
3.824 1.660 4.801
1.828 4.475 3.410
3.872 2.074 7.964
0.998 1.408 0.695
3.513 0.413 2.220
0.019 3.067 4.110
2.807 0.000 -0.004
```

Computed properties:
Size of the total moment, μB/f.u.: 3.00
Energy relative to the elements, uncorrected, eV per atom: -1.6187

Record 3
DFT (PBE-GGA) results for a relaxed structure of Ce3Cd2Hg8.

```
Ce3Cd2Hg8
1.0
-1.768 0.919 5.743
-1.885 -4.683 3.387
9.297 -2.949 6.552
Hg Cd Ce
8 2 3
Cartesian
0.303 -3.677 8.727
5.340 -3.036 6.955
5.288 -5.205 12.113
4.397 -5.380 8.649
4.455 -2.576 9.829
0.356 -1.508 3.568
1.188 -4.137 5.852
1.247 -1.333 7.032
7.026 -4.034 9.244
-1.383 -2.679 6.438
0.000 0.000 0.000
3.331 -1.988 4.561
2.313 -4.725 11.120
```

Computed properties:
Size of the total moment, μB/f.u.: 3.63
Energy of formation from the pure elements, eV per atom: -0.0599
N(E_F), states/eV per cell: 29.4

Here are the calculated electronic total energy numbers, same order: -5.99, -6.61, -1.76 (eV/atom).